## K2MnGaO4 (PBE with a Hubbard U)

Data for a geometry-optimized K2MnGaO4 structure.

Cell lengths 5.912, 5.913, 5.496 Å; angles 122.54, 122.54, 89.99 degrees
Site moments in Bohr magnetons follow the coordinates.
Atoms (fractional coordinates):
K 0.236 0.236 0.472  0.00
K 0.486 0.986 0.972  0.00
O 0.711 0.575 0.685  0.00
O 0.361 0.760 0.258  0.00
O 0.974 0.110 0.685  0.00
O 0.897 0.498 0.258  0.00
Ga 0.986 0.486 0.972  0.02
Mn 0.736 0.736 0.472  3.81

## Properties
E_tot = -45.9 eV for the cell shown
volume = 124.7 Å³/f.u.